Ba2AcAg | PBE | optimized geometry Values from VASP.

Quantum ESPRESSO input file:
```
&SYSTEM
  ibrav = 0, nat = 4, ntyp = 3
/
ATOMIC_SPECIES
Ba 137.33 Ba.upf
Ac 227.00 Ac.upf
Ag 107.87 Ag.upf
CELL_PARAMETERS angstrom
-4.115 -0.526 1.155
-2.146 -3.532 -1.210
1.301 -6.739 9.651
ATOMIC_POSITIONS crystal
Ba 0.068 0.068 0.798
Ba 0.266 0.266 0.202
Ac 0.499 0.499 0.501
Ag 0.667 0.667 0.999
```

Properties
DFT total energy	-0.19636	Ry/atom
energy of formation	0.12	eV per formula unit
excess energy over the best structure of this formula in the dataset	74	meV per atom
space-group type	Cm